MgAl2Pb PBE relaxed; formation energy = 0.19 eV/atom; calculated volume = 22.16 Å³ per atom; E = -12.0 eV for the cell shown
1.0
-2.026 2.328 -5.132
-5.573 -1.244 -1.804
3.436 2.332 4.315
Al Mg Pb
2 1 1
Direct
0.993 0.993 0.000
0.507 0.507 0.000
0.750 0.250 0.500
0.250 0.750 0.500